SmCoAsO | PBE with a Hubbard U | optimized geometry

Results
VASP energy: -6.461 eV per atom
ρ: 7.68 Mg/m³
M_tot: 0.62 μB per formula unit

abc: 4.0280 4.0280 8.0013
angles: 90.00 90.00 90.00
Closest atoms and distances in Å follow each position.
Atoms (fractional coordinates):
Sm 0.2500 0.2500 0.1433  4 O 2.32
Sm 0.7500 0.7500 0.8567  4 O 2.32
Co 0.2500 0.7500 0.5000  4 As 2.31
Co 0.7500 0.2500 0.5000  4 As 2.31
As 0.2500 0.2500 0.6405  4 Co 2.31
As 0.7500 0.7500 0.3595  4 Co 2.31
O 0.2500 0.7500 0.0000  4 Sm 2.32
O 0.7500 0.2500 0.0000  4 Sm 2.32